! KMgTeI2 PBE-GGA optimized geometry; values from VASP
&SYSTEM
  ibrav = 0, nat = 5, ntyp = 4
/
ATOMIC_SPECIES
K 39.10 K.upf
Mg 24.30 Mg.upf
Te 127.60 Te.upf
I 126.90 I.upf
CELL_PARAMETERS angstrom
5.9372 0.0000 0.0000
0.0000 5.9372 0.0000
0.0000 0.0000 5.5936
ATOMIC_POSITIONS crystal
K 0.0000 0.0000 0.0000
Mg 0.5000 0.5000 0.5000
Te 0.5000 0.5000 0.0000
I 0.0000 0.5000 0.5000
I 0.5000 0.0000 0.5000
! Energy relative to the elements, uncorrected in meV per atom: -792.5
! Excess energy over the best structure of this formula in the dataset in meV per atom: 0
! Space-group type: P4/mmm (123)

---

! CaLaPt2 PBE-GGA optimized geometry; values from VASP
&SYSTEM
  ibrav = 0, nat = 4, ntyp = 3
/
ATOMIC_SPECIES
Ca 40.08 Ca.upf
La 138.91 La.upf
Pt 195.08 Pt.upf
CELL_PARAMETERS angstrom
4.4671 0.0000 0.0000
0.0000 1.9912 5.4688
0.0000 -1.9912 5.4688
ATOMIC_POSITIONS crystal
Ca 0.0000 0.0000 0.0000
La 0.5000 0.2787 0.2787
Pt 0.0000 0.7224 0.7224
Pt 0.5000 0.5544 0.5544
! DFT formation energy in eV per atom: -1.084
! Space-group type: Amm2 (38)

---

Magnetic moment? In order: 0.77; 0.00 Bohr magnetons per cell.
Density? In order: 3.7; 9.7 g/cm³.